Record 1
Below is Cs2PBr2Cl4 after structural relaxation, with properties calculated at the GGA-PBE level.

```
Cs2PBr2Cl4
1.0
-3.824 3.824 5.175
3.824 -3.824 5.175
3.824 3.824 -5.175
Cs P Br Cl
2 1 2 4
Cartesian
3.824 0.000 2.587
0.000 3.824 2.587
0.000 0.000 0.000
0.000 0.000 2.487
0.000 0.000 7.863
1.634 1.634 0.000
2.190 -2.190 5.175
-2.190 2.190 5.175
2.190 2.190 5.175
```

Calculated values
**Formation energy (no corrections)**: -1.1249 eV/atom
**Magnetic moment**: 0.0 μB/cell
**E_tot**: -27.97 eV/cell

Record 2
Below is NaZr2TcN after structural relaxation, with properties calculated at the GGA-PBE level.

```
NaZr2TcN
1.0
4.950 0.000 0.000
0.000 4.950 0.000
0.000 0.000 3.716
Na Zr Tc N
1 2 1 1
Cartesian
0.000 0.000 0.000
0.000 2.475 0.000
2.475 0.000 0.000
2.475 2.475 1.858
0.000 0.000 1.858
```

Calculated values
**Formation energy (no corrections)**: 1.6789 eV/atom
**Magnetic moment**: 0.0 μB/cell
**E_tot**: -28.71 eV/cell

Record 3
Below is NaDy3Hg5 after structural relaxation, with properties calculated at the GGA-PBE level.

```
NaDy3Hg5
1.0
9.091 0.000 0.000
-4.545 7.873 0.000
0.000 0.000 6.291
Na Dy Hg
2 6 10
Cartesian
0.000 0.000 0.000
0.000 0.000 3.146
-1.639 2.839 1.573
-2.906 5.034 4.718
3.278 0.000 1.573
1.639 2.839 4.718
5.813 0.000 4.718
2.906 5.034 1.573
-1.389 2.406 4.718
-3.156 5.466 1.573
2.779 0.000 4.718
1.389 2.406 1.573
0.000 5.249 0.000
0.000 5.249 3.146
4.545 2.624 0.000
4.545 2.624 3.146
6.312 0.000 1.573
3.156 5.466 4.718
```

Calculated values
**Magnetic moment**: 0.0 μB/cell
**E_tot**: -39.81 eV/cell
**Energy of formation from the pure elements**: -0.364 eV/atom

Record 4
Below is ErHfCuPt after structural relaxation, with properties calculated at the GGA-PBE level.

```
ErHfCuPt
1.0
0.000 3.367 3.367
3.367 0.000 3.367
3.367 3.367 0.000
Er Hf Cu Pt
1 1 1 1
Cartesian
0.000 0.000 0.000
3.367 3.367 3.367
5.051 5.051 5.051
1.684 1.684 1.684
```

Calculated values
**Magnetic moment**: 0.0 μB/cell
**E_tot**: -27.17 eV/cell
**Energy of formation from the pure elements**: -0.630 eV/atom

Record 5
Below is MgAgPd after structural relaxation, with properties calculated at the GGA-PBE level.

```
MgAgPd
1.0
2.297 -3.974 0.000
2.297 3.974 0.000
0.000 0.000 5.567
Mg Ag Pd
2 2 2
Cartesian
2.297 2.652 4.175
2.297 -2.652 1.392
2.297 0.000 0.000
2.297 0.000 2.783
2.297 2.649 1.392
2.297 -2.649 4.175
```

Calculated values
**Energy relative to the lowest polymorph listed for this composition**: 0.00 eV per formula unit
**Magnetic moment**: 0.0 μB/cell
**E_tot**: -21.79 eV/cell
**Energy of formation from the pure elements**: -0.419 eV/atom

Record 6
Below is AcMgMn2H8 after structural relaxation, with properties calculated at the GGA-PBE level.

```
AcMgMn2H8
1.0
4.583 0.000 0.000
-2.292 3.969 0.000
0.000 0.000 6.045
Ac Mg Mn H
1 1 2 8
Cartesian
0.000 0.000 0.000
0.000 0.000 3.023
0.000 2.646 3.455
2.292 1.323 2.590
-1.240 2.551 2.110
0.000 2.646 5.241
0.702 1.619 2.110
1.754 0.201 3.935
0.538 3.768 2.110
1.589 2.350 3.935
2.292 1.323 0.804
3.532 1.418 3.935
```

Calculated values
**Magnetic moment**: 4.1 μB/cell
**E_tot**: -51.82 eV/cell

> Which value of E_tot does entry 3 give?

-39.81 eV/cell

> Number 1 is which compound?

Cs2PBr2Cl4

> What is the formula in the second record?

NaZr2TcN